A geometry-optimized ZrSnOs structure. Source: the Open Quantum Materials Database, functional GGA-PBE.

* VASP energy: -8.102 eV per atom

CIF file:
```
data_ZrSnOs
_chemical_formula_sum 'Zr4 Sn4 Os4'
_cell_length_a 6.407
_cell_length_b 6.407
_cell_length_c 6.407
_cell_angle_alpha 90.00
_cell_angle_beta 90.00
_cell_angle_gamma 90.00
_space_group_name_H-M_alt 'F -4 3 m'
_space_group_IT_number 216
_space_group_name_Hall 'F -4 2 3'
loop_
_atom_site_label
_atom_site_type_symbol
_atom_site_fract_x
_atom_site_fract_y
_atom_site_fract_z
_atom_site_occupancy
Zr1 Zr 0.000 0.000 0.000 1
Sn1 Sn 0.000 0.000 0.500 1
Os1 Os 0.250 0.250 0.750 1
```